{"formula": "Ba3Ag2Ge4", "functional": "GGA-PBE", "state": "relaxed", "lattice": [[4.5129, 0.0000, 0.0000], [-2.2564, 6.2316, -1.1188], [0.0000, 0.6006, 9.2616]], "species": ["Ba", "Ge", "Ge", "Ag", "Ba", "Ba", "Ge", "Ag", "Ge"], "frac_coords": [[0.0000, 0.0000, 0.0000], [0.7220, 0.4440, 0.0576], [0.0506, 0.1012, 0.3931], [0.6085, 0.2169, 0.2800], [0.6676, 0.3353, 0.6685], [0.3324, 0.6647, 0.3315], [0.9494, 0.8988, 0.6069], [0.3915, 0.7831, 0.7200], [0.2780, 0.5560, 0.9424]], "total_energy_ev_per_atom": -3.80, "e_form_ev_per_atom": -0.47, "magnetic_moment_mub_per_fu": 0.0}